Record 1
The following is a DFT calculation (GGA-PBE) of a relaxed structure of TaTiAlF2.

Computed properties:
Its density of states at the Fermi level is 0.847 states/eV per atom. As for the mass density: 5.41 g/cm³. The formation energy from raw total energies is -0.73 eV/atom.

```
TaTiAlF2
1.0
4.0221 0.0000 0.0000
0.0000 4.0221 0.0000
0.0000 0.0000 5.5730
Ta Ti Al F
1 1 1 2
Direct
0.0000 0.0000 0.0000
0.5000 0.5000 0.5000
0.0000 0.0000 0.5000
0.0000 0.5000 0.0000
0.5000 0.0000 0.0000
```

Record 2
The following is a DFT calculation (GGA-PBE) of a relaxed structure of Cu2Sn3Pd8.

Computed properties:
The formation energy comes out at -1.078 eV per formula unit. Its density of states at the Fermi level is 0.428 states/eV per atom. As for the mass density: 9.50 g/cm³.

```
Cu2Sn3Pd8
1.0
2.6693 1.5411 9.4559
-2.6693 1.5411 9.4559
0.0000 -3.0823 9.4559
Cu Sn Pd
2 3 8
Direct
0.1329 0.1329 0.1329
0.8671 0.8671 0.8671
0.3113 0.3113 0.3113
0.5000 0.5000 0.5000
0.6887 0.6887 0.6887
0.2194 0.2194 0.2194
0.2267 0.2267 0.7263
0.2267 0.7263 0.2267
0.2737 0.7733 0.7733
0.7263 0.2267 0.2267
0.7733 0.2737 0.7733
0.7733 0.7733 0.2737
0.7806 0.7806 0.7806
```

Record 3
The following is a DFT calculation (GGA-PBE) of a relaxed structure of CeTm2Th5.

Computed properties:
The formation energy comes out at 0.945 eV per formula unit. Its density of states at the Fermi level is 1.748 states/eV per atom. As for the mass density: 10.90 g/cm³.

```
CeTm2Th5
1.0
-4.1894 4.1894 3.5545
4.1894 -4.1894 3.5545
4.1894 4.1894 -3.5545
Ce Tm Th
1 2 5
Direct
0.0000 0.0000 0.0000
0.0000 0.5000 0.5000
0.5000 0.0000 0.5000
0.0000 0.0000 0.5000
0.0000 0.5000 0.0000
0.5000 0.0000 0.0000
0.5000 0.5000 0.0000
0.5000 0.5000 0.5000
```

Record 4
The following is a DFT calculation (GGA-PBE) of a relaxed structure of MnCdPt2.

Computed properties:
The formation energy comes out at -0.960 eV per formula unit. Its density of states at the Fermi level is 0.410 states/eV per atom. As for the mass density: 14.04 g/cm³.

```
MnCdPt2
1.0
4.7841 -1.4547 0.0000
4.7841 1.4547 0.0000
-0.9249 0.0000 4.7370
Mn Cd Pt
1 1 2
Direct
0.0000 0.0000 0.0000
0.2370 0.2370 0.6963
0.4856 0.4856 0.4808
0.7400 0.7400 0.1915
```

Record 5
The following is a DFT calculation (GGA-PBE) of a relaxed structure of Na2Cd3Pb8.

Computed properties:
The formation energy comes out at 0.954 eV per formula unit. Its density of states at the Fermi level is 0.401 states/eV per atom. As for the mass density: 7.52 g/cm³.

```
Na2Cd3Pb8
1.0
5.5029 -5.2437 0.0000
5.5029 5.2437 0.0000
-4.0805 0.0000 7.8070
Na Cd Pb
2 3 8
Direct
0.2420 0.2420 0.1542
0.7580 0.7580 0.8458
0.2591 0.7409 0.5000
0.5000 0.5000 0.0000
0.7409 0.2591 0.5000
0.0660 0.0660 0.3690
0.1575 0.6756 0.1112
0.3244 0.8425 0.8888
0.3955 0.3955 0.6116
0.6045 0.6045 0.3884
0.6756 0.1575 0.1112
0.8425 0.3244 0.8888
0.9340 0.9340 0.6310
```

Record 6
The following is a DFT calculation (GGA-PBE) of a relaxed structure of Li4Y3MnSe8.

Computed properties:
Its density of states at the Fermi level is 0.137 states/eV per atom. As for the mass density: 4.57 g/cm³. The formation energy from raw total energies is -1.43 eV/atom.

```
Li4Y3MnSe8
1.0
3.9923 2.3049 6.4635
-3.9923 2.3049 6.4635
0.0000 -4.6099 6.4635
Li Y Mn Se
4 3 1 8
Direct
0.0000 0.0000 0.0000
0.0000 0.5000 0.5000
0.5000 0.0000 0.5000
0.5000 0.5000 0.0000
0.0000 0.0000 0.5000
0.0000 0.5000 0.0000
0.5000 0.0000 0.0000
0.5000 0.5000 0.5000
0.2522 0.2522 0.2522
0.2609 0.2609 0.7312
0.2609 0.7312 0.2609
0.2688 0.7391 0.7391
0.7312 0.2609 0.2609
0.7391 0.2688 0.7391
0.7391 0.7391 0.2688
0.7478 0.7478 0.7478
```

Record 7
The following is a DFT calculation (GGA-PBE) of a relaxed structure of PuAl2O8.

Computed properties:
Its density of states at the Fermi level is 0.531 states/eV per atom. As for the mass density: 5.13 g/cm³. The formation energy from raw total energies is -2.08 eV/atom.

```
PuAl2O8
1.0
5.1348 -2.7246 0.0000
5.1348 2.7246 0.0000
-1.8623 0.0000 4.9249
Pu Al O
1 2 8
Direct
0.0000 0.0000 0.0000
0.2320 0.2320 0.5750
0.7680 0.7680 0.4250
0.0840 0.6128 0.7092
0.1153 0.1153 0.7756
0.3872 0.9160 0.2908
0.4479 0.4479 0.3966
0.5521 0.5521 0.6034
0.6128 0.0840 0.7092
0.8847 0.8847 0.2244
0.9160 0.3872 0.2908
```

Record 8
The following is a DFT calculation (GGA-PBE) of a relaxed structure of La2Tb6DyEr.

Computed properties:
The formation energy comes out at 1.189 eV per formula unit. Its density of states at the Fermi level is 1.468 states/eV per atom. As for the mass density: 7.83 g/cm³.

```
La2Tb6DyEr
1.0
4.5204 -7.5161 0.0000
4.5204 7.5161 0.0000
-1.7482 0.0000 9.7395
La Tb Dy Er
4 12 2 2
Direct
0.1928 0.2923 0.0418
0.2923 0.1928 0.5418
0.7077 0.8072 0.4582
0.8072 0.7077 0.9582
0.0215 0.5806 0.1892
0.1227 0.7386 0.5571
0.2614 0.8773 0.9429
0.2955 0.5037 0.3803
0.4194 0.9785 0.3108
0.4963 0.7045 0.1197
0.5037 0.2955 0.8803
0.5806 0.0215 0.6892
0.7045 0.4963 0.6197
0.7386 0.1227 0.0571
0.8773 0.2614 0.4429
0.9785 0.4194 0.8108
0.0133 0.9867 0.2500
0.9867 0.0133 0.7500
0.4045 0.5955 0.7500
0.5955 0.4045 0.2500
```

> Which of these has the lowest mass density?

Li4Y3MnSe8

> Which value of mass density does entry 7 give?

5.13 g/cm³

> Which of these has the lowest mass density?

Li4Y3MnSe8

> What is the formula in the seventh record?

PuAl2O8